Entry from Alexandria: an optimized crystal structure of Fe2CuSi (GGA-PBE).

Cell: 2.5462 3.6596 4.9775 Å, 90.00 90.00 90.00°
Last column: nearest neighbours and their distance in Å.
Positions (direct):
Si: 0.5000 0.5000 0.2500  2 Cu 2.49, 8 Fe 2.53, 2 Si 2.55
Fe: 0.0000 0.0000 0.0087  4 Fe 2.40-2.58, 4 Si 2.53, 4 Cu 2.57
Cu: 0.5000 0.5000 0.7500  2 Si 2.49, 2 Cu 2.55, 8 Fe 2.57
Fe: 0.0000 0.0000 0.4913  4 Fe 2.40-2.58, 4 Si 2.53, 4 Cu 2.57

Crystal system ... orthorhombic



Entry from Alexandria: an optimized crystal structure of Fe2CuSi2 (GGA-PBE).

Cell: 6.5711 6.5711 2.6506 Å, 90.00 90.00 90.00°
Last column: nearest neighbours and their distance in Å.
Positions (direct):
Si: 0.8560 0.6440 0.0000  6 Fe 2.32-2.35, 2 Cu 2.52
Si: 0.6440 0.1440 0.0000  6 Fe 2.32-2.35, 2 Cu 2.52
Cu: 0.5000 0.5000 0.0000  4 Si 2.52, 2 Cu 2.65
Fe: 0.3485 0.1515 0.5000  6 Si 2.32-2.35
Fe: 0.6515 0.8485 0.5000  6 Si 2.32-2.35
Si: 0.3560 0.8560 0.0000  6 Fe 2.32-2.35, 2 Cu 2.52
Si: 0.1440 0.3560 0.0000  6 Fe 2.32-2.35, 2 Cu 2.52
Fe: 0.8485 0.3485 0.5000  6 Si 2.32-2.35
Fe: 0.1515 0.6515 0.5000  6 Si 2.32-2.35
Cu: 0.0000 0.0000 0.0000  4 Si 2.52, 2 Cu 2.65

Crystal system ... tetragonal



Entry from Alexandria: an optimized crystal structure of Fe2CuSi (GGA-PBE).

Cell: 3.6893 2.5538 5.2990 Å, 68.46 90.00 90.00°
Last column: nearest neighbours and their distance in Å.
Positions (direct):
Cu: 0.5000 0.7500 0.7500  2 Si 2.48, 2 Cu 2.55, 8 Fe 2.57-2.60
Fe: 0.0000 0.0385 0.0120  4 Si 2.41-2.68, 4 Fe 2.41-2.58, 4 Cu 2.57-2.60
Fe: 0.0000 0.4615 0.4880  4 Si 2.41-2.68, 4 Fe 2.41-2.58, 4 Cu 2.57-2.60
Si: 0.5000 0.2500 0.2500  8 Fe 2.41-2.68, 2 Cu 2.48, 2 Si 2.55

Crystal system ... monoclinic



Entry from Alexandria: an optimized crystal structure of FeCuSi4 (GGA-PBE).

Cell: 4.8963 4.8963 4.8963 Å, 60.00 60.00 60.00°
Last column: nearest neighbours and their distance in Å.
Positions (direct):
Si: 0.3747 0.3747 0.8759  6 Si 2.44-2.45
Fe: 0.0000 0.0000 0.0000  12 Si 2.87, 4 Cu 3.00
Cu: 0.7500 0.7500 0.7500  12 Si 2.87, 4 Fe 3.00
Si: 0.8759 0.3747 0.3747  6 Si 2.44-2.45
Si: 0.3747 0.3747 0.3747  6 Si 2.44-2.45
Si: 0.3747 0.8759 0.3747  6 Si 2.44-2.45

Crystal system ... cubic



Entry from Alexandria: an optimized crystal structure of Fe2CuSi (GGA-PBE).

Cell: 5.6427 4.3302 2.5845 Å, 90.06 62.64 120.96°
Last column: nearest neighbours and their distance in Å.
Positions (direct):
Si: 0.0000 0.5000 0.5000  2 Cu 2.51, 8 Fe 2.52, 2 Si 2.58
Fe: 0.0000 0.0000 0.0000  4 Fe 2.51-2.58, 4 Cu 2.52, 4 Si 2.52
Fe: 0.5000 0.0000 0.5000  4 Fe 2.51-2.58, 4 Si 2.52, 4 Cu 2.52
Cu: 0.5000 0.5000 0.0000  2 Si 2.51, 8 Fe 2.52, 2 Cu 2.58

Crystal system ... orthorhombic



Entry from Alexandria: an optimized crystal structure of Fe2CuSi (GGA-PBE).

Cell: 2.5670 2.5670 7.5008 Å, 90.00 90.00 102.75°
Last column: nearest neighbours and their distance in Å.
Positions (direct):
Fe: 0.0000 0.0000 0.0067  8 Fe 2.48-2.76, 2 Cu 2.54
Fe: 0.5000 0.5000 0.2590  2 Si 2.36, 6 Fe 2.48-2.57
Cu: 0.5000 0.5000 0.7439  4 Si 2.49-2.76, 2 Fe 2.54, 4 Cu 2.57
Si: 0.0000 0.0000 0.4904  2 Fe 2.36, 2 Cu 2.49, 4 Si 2.57

Crystal system ... orthorhombic



Entry from Alexandria: an optimized crystal structure of FeCuSi (GGA-PBE).

Cell: 3.5681 3.5681 5.8921 Å, 90.00 90.00 90.00°
Last column: nearest neighbours and their distance in Å.
Positions (direct):
Fe: 0.5000 0.5000 0.5000  4 Si 2.36, 4 Fe 2.52
Cu: 0.0000 0.5000 0.8370  5 Si 2.35-2.56
Fe: 0.0000 0.0000 0.5000  4 Si 2.36, 4 Fe 2.52
Cu: 0.5000 0.0000 0.1630  5 Si 2.35-2.56
Si: 0.0000 0.5000 0.2365  5 Cu 2.35-2.56, 4 Fe 2.36
Si: 0.5000 0.0000 0.7635  5 Cu 2.35-2.56, 4 Fe 2.36

Crystal system ... tetragonal



Entry from Alexandria: an optimized crystal structure of Fe2CuSi (GGA-PBE).

Cell: 8.2447 8.2447 8.2447 Å, 18.05 18.05 18.05°
Last column: nearest neighbours and their distance in Å.
Positions (direct):
Fe: 0.5033 0.5033 0.5033  3 Si 2.45, 3 Cu 2.58, 6 Fe 2.59
Cu: 0.7500 0.7500 0.7500  6 Fe 2.58, 6 Cu 2.59
Fe: 0.9967 0.9967 0.9967  3 Si 2.45, 3 Cu 2.58, 6 Fe 2.59
Si: 0.2500 0.2500 0.2500  6 Fe 2.45, 6 Si 2.59

Crystal system ... trigonal



The records above give, respectively, total DFT energy (no corrections) values of -26.760; -66.481; -26.808; -31.232; -26.843; -26.263; -36.679; -26.396 eV for the cell shown.
The records above give, respectively, formation energy from raw total energies values of -0.08; -0.27; -0.09; 0.50; -0.10; 0.05; -0.12; 0.01 eV per atom.